1.
K3Pu3ZrTe8 | PBE-GGA | relaxed

The structure in POSCAR format:
```
K3Pu3ZrTe8
1.0
8.882 0.000 0.000
-4.441 7.695 -0.033
0.000 -5.099 8.417
Pu K Zr Te
3 3 1 8
Cartesian
-2.220 1.298 4.192 Pu
4.441 -2.549 4.209 Pu
2.221 1.298 4.192 Pu
-2.220 3.847 -0.017 K
0.000 0.000 0.000 K
2.221 3.848 -0.017 K
0.000 -2.549 4.209 Zr
4.441 2.696 2.498 Te
-2.326 3.931 5.869 Te
6.767 -1.334 2.516 Te
0.000 -0.099 5.886 Te
4.441 0.023 5.964 Te
0.000 2.574 2.421 Te
2.115 -1.334 2.516 Te
2.326 3.931 5.869 Te
```

Results
energy relative to the elements, uncorrected: -1.053 eV/atom

=====

2.
Ta2WAu | PBE-GGA | relaxed

The structure in POSCAR format:
```
Ta2WAu
1.0
5.266 -0.010 -0.011
2.196 4.787 0.011
-3.384 -2.931 2.774
Au W Ta
1 1 2
Cartesian
1.288 2.133 1.392 Au
3.806 2.436 0.000 W
7.413 4.745 0.000 Ta
2.765 -0.303 1.381 Ta
```

Results
ΔH_f (0 K): 114.9 meV per atom

=====

3.
HoTcOsW | PBE-GGA | relaxed

The structure in POSCAR format:
```
HoTcOsW
1.0
-1.622 4.234 0.637
-4.482 0.826 -0.446
-2.532 0.950 3.695
Ho Tc W Os
1 1 1 1
Cartesian
-4.318 3.005 1.942 Ho
-2.159 1.502 0.971 Tc
0.000 0.000 0.000 W
-6.477 4.507 2.914 Os
```

Results
ΔH_f (0 K): 2.1 meV per atom

=====

Magnetization (μB/atom)
1.000 0.000 0.000